Record 1
Here is crystalline Er3AlPd12 at its relaxed geometry from the Alexandria database. Energies are from GGA-PBE.

Cell lengths 4.0831, 4.0831, 16.0255 Å; angles 90.00, 90.00, 90.00 degrees
Space group P4/mmm (No. 123)
Inequivalent atoms, fractional coordinates:
Er 0.0000 0.0000 0.0000
Er 0.0000 0.0000 0.2574
Al 0.0000 0.0000 0.5000
Pd 0.0000 0.5000 0.1289
Pd 0.0000 0.5000 0.3875
Pd 0.5000 0.5000 0.0000
Pd 0.5000 0.5000 0.2580
Pd 0.5000 0.5000 0.5000

* calculated total energy: -5.8088 eV per atom
* spin magnetization: 0.000 μB per atom

Record 2
Here is crystalline CeTiZnMo at its relaxed geometry from the Alexandria database. Energies are from GGA-PBE.

Cell lengths 6.7027, 6.7027, 6.7027 Å; angles 90.00, 90.00, 90.00 degrees
Space group F-43m (No. 216)
Inequivalent atoms, fractional coordinates:
Ce 0.0000 0.0000 0.0000
Ti 0.0000 0.0000 0.5000
Zn 0.2500 0.2500 0.2500
Mo 0.2500 0.2500 0.7500

* calculated total energy: -6.4079 eV per atom
* spin magnetization: 0.000 μB per atom

Record 3
Here is crystalline Sr2Al5Cd3 at its relaxed geometry from the Alexandria database. Energies are from GGA-PBE.

Cell lengths 4.4997, 4.4997, 11.8778 Å; angles 90.00, 90.00, 90.00 degrees
Space group P-4m2 (No. 115)
Inequivalent atoms, fractional coordinates:
Sr 0.0000 0.5000 0.2348
Al 0.0000 0.0000 0.0000
Al 0.0000 0.0000 0.5000
Al 0.0000 0.5000 0.8744
Al 0.5000 0.5000 0.0000
Cd 0.0000 0.5000 0.6470
Cd 0.5000 0.5000 0.5000

* calculated total energy: -2.6993 eV per atom
* spin magnetization: 0.000 μB per atom

Record 4
Here is crystalline SnPd5Au6 at its relaxed geometry from the Alexandria database. Energies are from GGA-PBE.

Cell lengths 4.1254, 12.0958, 8.2424 Å; angles 90.00, 90.19, 90.00 degrees
Space group C2/m (No. 12)
Inequivalent atoms, fractional coordinates:
Sn 0.0000 0.0000 0.0000
Pd 0.0000 0.0000 0.5000
Pd 0.0000 0.3317 0.5000
Pd 0.0000 0.3409 0.0000
Au 0.0000 0.1688 0.2530
Au 0.9999 0.5000 0.2646

* spin magnetization: 0.000 μB per atom
* offset from the most stable computed form: 10.0 meV per atom

Record 5
Here is crystalline BaLaPtBr at its relaxed geometry from the Alexandria database. Energies are from GGA-PBE.

Cell lengths 4.3716, 4.3716, 24.9976 Å; angles 90.00, 90.00, 120.00 degrees
Space group R3m (No. 160, hexagonal axes)
Inequivalent atoms, fractional coordinates:
Ba 0.0000 0.0000 0.0000
La 0.0000 0.0000 0.8031
Pt 0.0000 0.0000 0.4132
Br 0.0000 0.0000 0.2267

* E_form (uncorrected): -1.3191 eV/atom
* spin magnetization: 0.000 μB per atom

Record 6
Here is crystalline ThZnIn at its relaxed geometry from the Alexandria database. Energies are from GGA-PBE.

Cell lengths 3.4973, 3.4973, 12.0219 Å; angles 90.00, 90.00, 90.00 degrees
Space group I4mm (No. 107)
Inequivalent atoms, fractional coordinates:
Th 0.0000 0.0000 0.0000
Zn 0.0000 0.0000 0.3316
In 0.0000 0.0000 0.6990

* calculated total energy: -3.9631 eV per atom
* spin magnetization: 0.000 μB per atom

Record 7
Here is crystalline LiY4P at its relaxed geometry from the Alexandria database. Energies are from GGA-PBE.

Cell lengths 8.9358, 8.9358, 8.9358 Å; angles 90.00, 90.00, 90.00 degrees
Space group F-43m (No. 216)
Inequivalent atoms, fractional coordinates:
Li 0.0000 0.0000 0.0000
Y 0.1245 0.1245 0.3755
P 0.2500 0.2500 0.7500

* calculated total energy: -5.0082 eV per atom
* spin magnetization: 0.000 μB per atom

Record 8
Here is crystalline BaLaMn2 at its relaxed geometry from the Alexandria database. Energies are from GGA-PBE.

Cell lengths 3.4380, 3.4380, 9.3664 Å; angles 90.00, 90.00, 90.00 degrees
Space group P4mm (No. 99)
Inequivalent atoms, fractional coordinates:
Ba 0.0000 0.0000 0.0000
La 0.5000 0.5000 0.3840
Mn 0.0000 0.0000 0.6186
Mn 0.5000 0.5000 0.7196

* spin magnetization: 0.187 μB per atom
* offset from the most stable computed form: 0.0 meV per atom